[1]
Here is crystalline NbTeHI2 at its relaxed geometry from Alexandria via LeMat-Bulk. Energies are from GGA-PBE.

```
data_NbTeHI2
_cell_length_a 5.700
_cell_length_b 5.700
_cell_length_c 5.361
_cell_angle_alpha 90.00
_cell_angle_beta 90.00
_cell_angle_gamma 90.00
_space_group_name_H-M_alt 'P 4/m m m'
_space_group_IT_number 123
_space_group_name_Hall '-P 4 2'
loop_
_atom_site_label
_atom_site_fract_x
_atom_site_fract_y
_atom_site_fract_z
Nb1 0.000 0.000 0.000
Te1 0.000 0.000 0.500
H1 0.500 0.500 0.500
I1 0.000 0.500 0.000
```

Computed properties:
Spin magnetization ... 1.00 μB/cell
Energy above the most stable polymorph in this dataset ... 0 meV per atom

***

[2]
Here is crystalline NbTe2HI at its relaxed geometry from Alexandria via LeMat-Bulk. Energies are from GGA-PBE.

```
data_NbTe2HI
_cell_length_a 4.471
_cell_length_b 4.471
_cell_length_c 5.745
_cell_angle_alpha 90.00
_cell_angle_beta 90.00
_cell_angle_gamma 90.00
_space_group_name_H-M_alt 'P 4/m m m'
_space_group_IT_number 123
_space_group_name_Hall '-P 4 2'
loop_
_atom_site_label
_atom_site_fract_x
_atom_site_fract_y
_atom_site_fract_z
Nb1 0.000 0.000 0.000
Te1 0.000 0.500 0.500
H1 0.500 0.500 0.500
I1 0.500 0.500 0.000
```

Computed properties:
Spin magnetization ... 2.63 μB/cell
Energy above the most stable polymorph in this dataset ... 313 meV per atom